## KMn (PBE-GGA)

Data for a relaxed KMn crystal.

Cell and atoms, written as CIF:
```
data_KMn
_chemical_formula_sum 'K2 Mn2'
_cell_length_a 6.199
_cell_length_b 6.199
_cell_length_c 7.078
_cell_angle_alpha 90.00
_cell_angle_beta 90.00
_cell_angle_gamma 120.00
_symmetry_space_group_name_H-M 'P 1'
_symmetry_Int_Tables_number 1
loop_
_symmetry_equiv_pos_as_xyz
'x,y,z'
loop_
_atom_site_label
_atom_site_type_symbol
_atom_site_fract_x
_atom_site_fract_y
_atom_site_fract_z
_atom_site_occupancy
K1 K 0.333 0.667 0.250 1
K2 K 0.667 0.333 0.750 1
Mn1 Mn 0.333 0.667 0.750 1
Mn2 Mn 0.667 0.333 0.250 1
```

M_tot = 4.581 μB/f.u.
crystal system = hexagonal
excess energy over the best structure of this formula in the dataset = 793 meV/atom
DFT formation energy = 1.538 eV/atom

## KCaP3H6O12 (PBE-GGA)

Data for a relaxed KCaP3H6O12 crystal.

Cell and atoms, written as CIF:
```
data_KCaP3H6O12
_chemical_formula_sum 'K4 Ca4 P12 H24 O48'
_cell_length_a 7.385
_cell_length_b 12.147
_cell_length_c 12.806
_cell_angle_alpha 90.00
_cell_angle_beta 110.22
_cell_angle_gamma 90.00
_symmetry_space_group_name_H-M 'P 1'
_symmetry_Int_Tables_number 1
loop_
_symmetry_equiv_pos_as_xyz
'x,y,z'
loop_
_atom_site_label
_atom_site_type_symbol
_atom_site_fract_x
_atom_site_fract_y
_atom_site_fract_z
_atom_site_occupancy
K1 K 0.227 0.093 0.102 1
K2 K 0.227 0.407 0.602 1
K3 K 0.773 0.593 0.398 1
K4 K 0.773 0.907 0.898 1
Ca1 Ca 0.110 0.730 0.687 1
Ca2 Ca 0.110 0.770 0.187 1
Ca3 Ca 0.890 0.230 0.813 1
Ca4 Ca 0.890 0.270 0.313 1
P1 P 0.210 0.005 0.803 1
P2 P 0.210 0.495 0.303 1
P3 P 0.297 0.667 0.468 1
P4 P 0.297 0.833 0.968 1
P5 P 0.400 0.221 0.824 1
P6 P 0.400 0.279 0.324 1
P7 P 0.600 0.721 0.676 1
P8 P 0.600 0.779 0.176 1
P9 P 0.703 0.167 0.032 1
P10 P 0.703 0.333 0.532 1
P11 P 0.790 0.505 0.697 1
P12 P 0.790 0.995 0.197 1
H1 H 0.005 0.700 0.948 1
H2 H 0.005 0.800 0.448 1
H3 H 0.154 0.135 0.518 1
H4 H 0.154 0.365 0.018 1
H5 H 0.225 0.530 0.086 1
H6 H 0.225 0.970 0.586 1
H7 H 0.275 0.517 0.971 1
H8 H 0.275 0.983 0.471 1
H9 H 0.278 0.064 0.331 1
H10 H 0.278 0.436 0.831 1
H11 H 0.458 0.515 0.874 1
H12 H 0.458 0.985 0.374 1
H13 H 0.542 0.015 0.626 1
H14 H 0.542 0.485 0.126 1
H15 H 0.722 0.564 0.169 1
H16 H 0.722 0.936 0.669 1
H17 H 0.725 0.017 0.529 1
H18 H 0.725 0.483 0.029 1
H19 H 0.775 0.030 0.414 1
H20 H 0.775 0.470 0.914 1
H21 H 0.846 0.635 0.982 1
H22 H 0.846 0.865 0.482 1
H23 H 0.995 0.200 0.552 1
H24 H 0.995 0.300 0.052 1
O1 O 0.069 0.061 0.846 1
O2 O 0.069 0.439 0.346 1
O3 O 0.073 0.203 0.503 1
O4 O 0.073 0.297 0.003 1
O5 O 0.139 0.567 0.202 1
O6 O 0.139 0.933 0.702 1
O7 O 0.191 0.748 0.884 1
O8 O 0.191 0.752 0.384 1
O9 O 0.200 0.622 0.545 1
O10 O 0.200 0.878 0.045 1
O11 O 0.212 0.218 0.298 1
O12 O 0.212 0.282 0.798 1
O13 O 0.288 0.016 0.545 1
O14 O 0.288 0.484 0.045 1
O15 O 0.315 0.514 0.840 1
O16 O 0.315 0.986 0.340 1
O17 O 0.360 0.092 0.785 1
O18 O 0.360 0.408 0.285 1
O19 O 0.362 0.566 0.405 1
O20 O 0.362 0.934 0.905 1
O21 O 0.452 0.736 0.221 1
O22 O 0.452 0.764 0.721 1
O23 O 0.488 0.211 0.960 1
O24 O 0.488 0.289 0.460 1
O25 O 0.512 0.711 0.540 1
O26 O 0.512 0.789 0.040 1
O27 O 0.548 0.236 0.279 1
O28 O 0.548 0.264 0.779 1
O29 O 0.638 0.066 0.095 1
O30 O 0.638 0.434 0.595 1
O31 O 0.640 0.592 0.715 1
O32 O 0.640 0.908 0.215 1
O33 O 0.685 0.014 0.660 1
O34 O 0.685 0.486 0.160 1
O35 O 0.712 0.516 0.955 1
O36 O 0.712 0.984 0.455 1
O37 O 0.788 0.718 0.202 1
O38 O 0.788 0.782 0.702 1
O39 O 0.800 0.122 0.955 1
O40 O 0.800 0.378 0.455 1
O41 O 0.809 0.248 0.616 1
O42 O 0.809 0.252 0.116 1
O43 O 0.861 0.067 0.298 1
O44 O 0.861 0.433 0.798 1
O45 O 0.927 0.703 0.997 1
O46 O 0.927 0.797 0.497 1
O47 O 0.931 0.561 0.654 1
O48 O 0.931 0.939 0.154 1
```

M_tot = 0.000 μB/f.u.
crystal system = monoclinic
raw total energy = -6.19 eV per atom

## LaInTe (PBE-GGA)

Data for a relaxed LaInTe crystal.

Cell and atoms, written as CIF:
```
data_LaInTe
_chemical_formula_sum 'La1 In1 Te1'
_cell_length_a 5.218
_cell_length_b 5.218
_cell_length_c 3.937
_cell_angle_alpha 90.00
_cell_angle_beta 90.00
_cell_angle_gamma 120.00
_symmetry_space_group_name_H-M 'P 1'
_symmetry_Int_Tables_number 1
loop_
_symmetry_equiv_pos_as_xyz
'x,y,z'
loop_
_atom_site_label
_atom_site_type_symbol
_atom_site_fract_x
_atom_site_fract_y
_atom_site_fract_z
_atom_site_occupancy
La1 La 0.000 0.000 0.000 1
In1 In 0.667 0.333 0.502 1
Te1 Te 0.333 0.667 0.499 1
```

M_tot = 0.000 μB/f.u.
crystal system = trigonal
raw total energy = -4.26 eV per atom

## SrNiH3 (PBE-GGA)

Data for a relaxed SrNiH3 crystal.

Cell and atoms, written as CIF:
```
data_SrNiH3
_chemical_formula_sum 'Sr2 Ni2 H6'
_cell_length_a 4.190
_cell_length_b 4.190
_cell_length_c 7.236
_cell_angle_alpha 90.00
_cell_angle_beta 90.00
_cell_angle_gamma 120.00
_symmetry_space_group_name_H-M 'P 1'
_symmetry_Int_Tables_number 1
loop_
_symmetry_equiv_pos_as_xyz
'x,y,z'
loop_
_atom_site_label
_atom_site_type_symbol
_atom_site_fract_x
_atom_site_fract_y
_atom_site_fract_z
_atom_site_occupancy
Sr1 Sr 0.333 0.667 0.250 1
Sr2 Sr 0.667 0.333 0.750 1
Ni1 Ni 0.000 0.000 0.000 1
Ni2 Ni 0.000 0.000 0.500 1
H1 H 0.000 0.000 0.250 1
H2 H 0.000 0.000 0.750 1
H3 H 0.333 0.667 0.585 1
H4 H 0.333 0.667 0.915 1
H5 H 0.667 0.333 0.085 1
H6 H 0.667 0.333 0.415 1
```

M_tot = 0.846 μB/f.u.
crystal system = hexagonal
raw total energy = -3.44 eV per atom

## K3ErBr6 (PBE-GGA)

Data for a relaxed K3ErBr6 crystal.

Cell and atoms, written as CIF:
```
data_K3ErBr6
_chemical_formula_sum 'K6 Er2 Br12'
_cell_length_a 7.873
_cell_length_b 8.387
_cell_length_c 13.639
_cell_angle_alpha 90.00
_cell_angle_beta 124.14
_cell_angle_gamma 90.00
_symmetry_space_group_name_H-M 'P 1'
_symmetry_Int_Tables_number 1
loop_
_symmetry_equiv_pos_as_xyz
'x,y,z'
loop_
_atom_site_label
_atom_site_type_symbol
_atom_site_fract_x
_atom_site_fract_y
_atom_site_fract_z
_atom_site_occupancy
K1 K 0.000 0.000 0.000 1
K2 K 0.000 0.500 0.500 1
K3 K 0.212 0.079 0.743 1
K4 K 0.212 0.421 0.243 1
K5 K 0.788 0.579 0.757 1
K6 K 0.788 0.921 0.257 1
Er1 Er 0.500 0.000 0.500 1
Er2 Er 0.500 0.500 0.000 1
Br1 Br 0.157 0.178 0.442 1
Br2 Br 0.157 0.322 0.942 1
Br3 Br 0.259 0.723 0.424 1
Br4 Br 0.259 0.777 0.924 1
Br5 Br 0.405 0.054 0.272 1
Br6 Br 0.405 0.446 0.772 1
Br7 Br 0.595 0.554 0.228 1
Br8 Br 0.595 0.946 0.728 1
Br9 Br 0.741 0.223 0.076 1
Br10 Br 0.741 0.277 0.576 1
Br11 Br 0.843 0.678 0.058 1
Br12 Br 0.843 0.822 0.558 1
```

M_tot = 0.000 μB/f.u.
crystal system = monoclinic
raw total energy = -3.61 eV per atom